Record 1
The following is a DFT calculation (PBE) of a relaxed YHgAs crystal.

Unit cell a=4.5845 b=5.6982 c=11.3098 alpha=90.00 beta=90.00 gamma=90.00
Fractional coordinates of all 12 atoms:
Y1 0.0000 0.0000 0.0000
Y2 0.0000 0.5000 0.5000
Y3 0.5000 0.0000 0.5000
Y4 0.5000 0.5000 0.0000
Hg1 0.0000 0.0000 0.6941
Hg2 0.0000 0.5000 0.1941
Hg3 0.5000 0.0000 0.1941
Hg4 0.5000 0.5000 0.6941
As1 0.0000 0.0000 0.3596
As2 0.0000 0.5000 0.8596
As3 0.5000 0.0000 0.8596
As4 0.5000 0.5000 0.3596

relative energy among the computed polymorphs = 162 meV/atom
calculated total energy = -4.34 eV per atom
formation enthalpy at 0 K = -0.54 eV/atom

---

Record 2
The following is a DFT calculation (PBE) of a relaxed Y2HgAs crystal.

Unit cell a=3.7269 b=3.7308 c=6.9780 alpha=90.00 beta=92.94 gamma=90.00
Fractional coordinates of all 4 atoms:
Y1 0.0230 0.0000 0.2676
Y2 0.9770 0.0000 0.7324
Hg1 0.5000 0.5000 0.0000
As1 0.5000 0.5000 0.5000

relative energy among the computed polymorphs = 147 meV/atom
calculated total energy = -5.28 eV per atom
formation enthalpy at 0 K = -0.81 eV/atom

---

Record 3
The following is a DFT calculation (PBE) of a relaxed Y2Hg2As crystal.

Unit cell a=7.6025 b=7.6025 c=4.7462 alpha=90.00 beta=90.00 gamma=90.00
Fractional coordinates of all 10 atoms:
Y1 0.1708 0.3292 0.0000
Y2 0.3292 0.8292 0.0000
Y3 0.6708 0.1708 0.0000
Y4 0.8292 0.6708 0.0000
Hg1 0.1381 0.6381 0.5000
Hg2 0.3619 0.1381 0.5000
Hg3 0.6381 0.8619 0.5000
Hg4 0.8619 0.3619 0.5000
As1 0.0000 0.0000 0.0000
As2 0.5000 0.5000 0.0000

relative energy among the computed polymorphs = 0 meV/atom
calculated total energy = -4.20 eV per atom
formation enthalpy at 0 K = -0.57 eV/atom

---

> relative energy among the computed polymorphs of number 2 (Y2HgAs)?

147 meV/atom

---

> What is the formula in the second record?

Y2HgAs